First-principles (PBE with a Hubbard U) data for crystalline NpCrO6 at its relaxed geometry, as listed in Alexandria via LeMat-Bulk.

Values from the calculation:
DOS at the Fermi energy: 0.00 states/eV per atom
uncorrected energy: -8.058 eV per atom
theoretical density: 5.31 g/cm3

abc: 6.1218 5.5345 5.5355
angles: 54.04 106.05 73.94
Atoms (fractional coordinates):
O1 0.7607 0.8939 0.8950
O2 0.2395 0.8947 0.8941
O3 0.7163 0.5876 0.4537
O4 0.7604 0.1469 0.1474
O5 0.2394 0.1476 0.1467
O6 0.2837 0.4537 0.5876
Cr1 0.5000 0.0208 0.0208
Np1 0.0000 0.0208 0.0208